{"formula": "Pr5ZnTe4", "functional": "PBE-GGA", "state": "relaxed", "space_group": "I4/mmm", "magnetic_moment_mub_per_fu": 0.00, "relative_energy_ev_per_atom": 0.029, "dft_energy_ry_per_atom": -0.3654, "lattice": [[-2.251, 2.251, 15.909], [2.251, -2.251, 15.909], [2.251, 2.251, -15.909]], "species": ["Pr", "Pr", "Pr", "Pr", "Pr", "Zn", "Te", "Te", "Te", "Te"], "frac_coords": [[0.000, 0.000, 0.000], [0.198, 0.198, 0.000], [0.403, 0.403, 0.000], [0.597, 0.597, 0.000], [0.802, 0.802, 0.000], [0.500, 0.500, 0.000], [0.100, 0.100, 0.000], [0.301, 0.301, 0.000], [0.699, 0.699, 0.000], [0.900, 0.900, 0.000]]}

---

{"formula": "La3YTl", "functional": "PBE-GGA", "state": "relaxed", "formation_enthalpy_0k_ev_per_fu": 1.97, "space_group": "Pm-3m", "magnetic_moment_mub_per_fu": 0.82, "relative_energy_ev_per_atom": 0.489, "dft_energy_ry_per_atom": -0.3182, "lattice": [[6.050, 0.000, 0.000], [0.000, 6.050, 0.000], [0.000, 0.000, 6.050]], "species": ["La", "La", "La", "Y", "Tl"], "frac_coords": [[0.000, 0.000, 0.500], [0.000, 0.500, 0.000], [0.500, 0.000, 0.000], [0.500, 0.500, 0.500], [0.000, 0.000, 0.000]]}

---

{"formula": "Pu2HCl", "functional": "PBE-GGA", "state": "relaxed", "space_group": "P4/mmm", "magnetic_moment_mub_per_fu": 13.47, "relative_energy_ev_per_atom": 0.239, "dft_energy_ry_per_atom": -0.6488, "lattice": [[3.209, 0.000, 0.000], [0.000, 3.209, 0.000], [0.000, 0.000, 7.441]], "species": ["Pu", "Pu", "H", "Cl"], "frac_coords": [[0.000, 0.000, 0.214], [0.000, 0.000, 0.786], [0.500, 0.500, 0.000], [0.500, 0.500, 0.500]]}

---

{"formula": "Cs2BaBi2O7", "functional": "PBE-GGA", "state": "relaxed", "space_group": "I4/mmm", "magnetic_moment_mub_per_fu": 0.00, "dft_energy_ry_per_atom": -0.3855, "lattice": [[-2.179, 2.179, 12.071], [2.179, -2.179, 12.071], [2.179, 2.179, -12.071]], "species": ["Cs", "Cs", "Ba", "Bi", "Bi", "O", "O", "O", "O", "O", "O", "O"], "frac_coords": [[0.191, 0.191, 0.000], [0.809, 0.809, 0.000], [0.000, 0.000, 0.000], [0.408, 0.408, 0.000], [0.592, 0.592, 0.000], [0.079, 0.579, 0.500], [0.323, 0.323, 0.000], [0.421, 0.921, 0.500], [0.500, 0.500, 0.000], [0.579, 0.079, 0.500], [0.677, 0.677, 0.000], [0.921, 0.421, 0.500]]}

---

{"formula": "PrTmAg4", "functional": "PBE-GGA", "state": "relaxed", "formation_enthalpy_0k_ev_per_fu": 0.02, "space_group": "Pmmm", "magnetic_moment_mub_per_fu": 0.00, "relative_energy_ev_per_atom": 0.271, "dft_energy_ry_per_atom": -0.2528, "lattice": [[3.440, 0.000, 0.000], [0.000, 4.442, 0.000], [0.000, 0.000, 9.667]], "species": ["Pr", "Tm", "Ag", "Ag", "Ag", "Ag"], "frac_coords": [[0.000, 0.000, 0.000], [0.500, 0.500, 0.500], [0.000, 0.500, 0.241], [0.000, 0.500, 0.759], [0.500, 0.000, 0.286], [0.500, 0.000, 0.714]]}

---

{"formula": "TbHf2H", "functional": "PBE-GGA", "state": "relaxed", "space_group": "R-3m", "magnetic_moment_mub_per_fu": 0.00, "dft_energy_ry_per_atom": -0.5020, "lattice": [[1.616, 0.933, 8.647], [-1.616, 0.933, 8.647], [0.000, -1.866, 8.647]], "species": ["Tb", "Hf", "Hf", "H"], "frac_coords": [[0.000, 0.000, 0.000], [0.119, 0.119, 0.119], [0.881, 0.881, 0.881], [0.500, 0.500, 0.500]]}

---

{"formula": "Co2PRh", "functional": "PBE-GGA", "state": "relaxed", "formation_enthalpy_0k_ev_per_fu": -0.19, "space_group": "R3m", "magnetic_moment_mub_per_fu": 2.77, "dft_energy_ry_per_atom": -0.4991, "lattice": [[1.363, 0.787, 7.584], [-1.363, 0.787, 7.584], [0.000, -1.574, 7.584]], "species": ["Co", "Co", "P", "Rh"], "frac_coords": [[0.000, 0.000, 0.000], [0.248, 0.248, 0.248], [0.739, 0.739, 0.739], [0.486, 0.486, 0.486]]}

---

{"formula": "LaMnIr", "functional": "PBE-GGA", "state": "relaxed", "formation_enthalpy_0k_ev_per_fu": -0.11, "space_group": "I4mm", "magnetic_moment_mub_per_fu": 3.40, "dft_energy_ry_per_atom": -0.5652, "lattice": [[-1.722, 1.722, 5.306], [1.722, -1.722, 5.306], [1.722, 1.722, -5.306]], "species": ["La", "Mn", "Ir"], "frac_coords": [[0.000, 0.000, 0.000], [0.281, 0.281, 0.000], [0.709, 0.709, 0.000]]}

---

{"formula": "Cs4NbSe4", "functional": "PBE-GGA", "state": "relaxed", "space_group": "I4/m", "magnetic_moment_mub_per_fu": 0.95, "relative_energy_ev_per_atom": 0.116, "dft_energy_ry_per_atom": -0.2898, "lattice": [[-5.220, 5.220, 3.612], [5.220, -5.220, 3.612], [5.220, 5.220, -3.612]], "species": ["Cs", "Cs", "Cs", "Cs", "Nb", "Se", "Se", "Se", "Se"], "frac_coords": [[0.086, 0.708, 0.794], [0.292, 0.086, 0.378], [0.708, 0.914, 0.622], [0.914, 0.292, 0.206], [0.500, 0.500, 0.000], [0.267, 0.425, 0.692], [0.425, 0.733, 0.158], [0.575, 0.267, 0.842], [0.733, 0.575, 0.308]]}

---

{"formula": "Ba4Mn", "functional": "PBE-GGA", "state": "relaxed", "formation_enthalpy_0k_ev_per_fu": 3.99, "space_group": "I4/mmm", "magnetic_moment_mub_per_fu": 2.12, "relative_energy_ev_per_atom": 0.469, "dft_energy_ry_per_atom": -0.1892, "lattice": [[-3.532, 3.532, 4.724], [3.532, -3.532, 4.724], [3.532, 3.532, -4.724]], "species": ["Ba", "Ba", "Ba", "Ba", "Mn"], "frac_coords": [[0.175, 0.175, 0.000], [0.250, 0.750, 0.500], [0.750, 0.250, 0.500], [0.825, 0.825, 0.000], [0.500, 0.500, 0.000]]}

---

{"formula": "SrSnP2O8", "functional": "PBE-GGA", "state": "relaxed", "space_group": "C2/c", "magnetic_moment_mub_per_fu": 0.00, "relative_energy_ev_per_atom": 0.000, "dft_energy_ry_per_atom": -0.5173, "lattice": [[8.535, -2.642, 0.000], [8.535, 2.642, 0.000], [-3.696, 0.000, 7.397]], "species": ["Sr", "Sr", "Sn", "Sn", "P", "P", "P", "P", "O", "O", "O", "O", "O", "O", "O", "O", "O", "O", "O", "O", "O", "O", "O", "O"], "frac_coords": [[0.175, 0.825, 0.750], [0.825, 0.175, 0.250], [0.000, 0.500, 0.500], [0.500, 0.000, 0.000], [0.121, 0.596, 0.246], [0.404, 0.879, 0.254], [0.596, 0.121, 0.746], [0.879, 0.404, 0.754], [0.051, 0.509, 0.290], [0.116, 0.200, 0.895], [0.169, 0.729, 0.402], [0.200, 0.116, 0.395], [0.271, 0.831, 0.098], [0.338, 0.380, 0.650], [0.380, 0.338, 0.150], [0.491, 0.949, 0.210], [0.509, 0.051, 0.790], [0.620, 0.662, 0.850], [0.662, 0.620, 0.350], [0.729, 0.169, 0.902], [0.800, 0.884, 0.605], [0.831, 0.271, 0.598], [0.884, 0.800, 0.105], [0.949, 0.491, 0.710]]}

---

{"formula": "Ac2Tl4Cd", "functional": "PBE-GGA", "state": "relaxed", "formation_enthalpy_0k_ev_per_fu": 0.27, "space_group": "I4/mmm", "magnetic_moment_mub_per_fu": 0.00, "relative_energy_ev_per_atom": 0.144, "dft_energy_ry_per_atom": -0.1925, "lattice": [[-2.739, 2.739, 8.525], [2.739, -2.739, 8.525], [2.739, 2.739, -8.525]], "species": ["Ac", "Ac", "Tl", "Tl", "Tl", "Tl", "Cd"], "frac_coords": [[0.134, 0.134, 0.000], [0.866, 0.866, 0.000], [0.000, 0.500, 0.500], [0.327, 0.327, 0.000], [0.500, 0.000, 0.500], [0.673, 0.673, 0.000], [0.500, 0.500, 0.000]]}